1.
La2MgAu (PBE, optimized geometry); formation energy from the elements = -0.448 eV per atom
1.0
3.897 0.000 0.000
0.000 3.903 0.014
0.000 3.876 7.601
Mg La Au
1 2 1
direct
0.500 0.250 0.250
0.000 0.482 0.518
0.000 0.018 0.982
0.500 0.750 0.750



2.
SrIn4Bi (PBE, optimized geometry); formation energy from the elements = -0.166 eV per atom
1.0
6.334 0.000 0.000
3.167 5.485 0.000
3.167 1.828 5.172
In Bi Sr
4 1 1
direct
0.124 0.625 0.625
0.625 0.124 0.625
0.625 0.625 0.124
0.625 0.625 0.625
0.000 0.000 0.000
0.250 0.250 0.250



3.
ReWSe2 (PBE, optimized geometry); raw formation energy = 43 kJ per mole of atoms
1.0
-8.462 0.268 -1.881
-8.591 -0.025 1.185
-8.221 2.760 -0.084
Se Re W
2 1 1
direct
0.905 0.905 0.905
0.095 0.095 0.095
0.000 0.000 0.000
0.500 0.500 0.500



4.
CoCu2Os (PBE, optimized geometry); formation energy from the elements = 0.174 eV per atom
1.0
2.639 0.000 0.000
0.000 2.639 0.000
0.000 0.000 7.075
Cu Co Os
2 1 1
direct
0.500 0.500 0.241
0.000 0.000 0.995
0.500 0.500 0.749
0.000 0.000 0.516



5.
MnSe3 (PBE, optimized geometry); raw formation energy = 4 kJ per mole of atoms
1.0
-6.276 -7.314 12.383
-10.622 -6.057 9.834
8.549 4.430 -12.390
Se Mn
6 2
direct
0.138 0.138 0.000
0.250 0.750 0.500
0.862 0.862 0.000
0.000 0.500 0.500
0.500 0.000 0.500
0.750 0.250 0.500
0.342 0.342 0.000
0.658 0.658 0.000



6.
DyY2HoSc2 (PBE, optimized geometry); formation energy from the elements = 0.074 eV per atom
1.0
-2.910 0.765 4.559
7.505 -2.381 5.191
1.961 6.526 0.157
Dy Ho Sc Y
2 2 4 4
direct
0.500 0.500 0.000
0.000 0.000 0.500
0.000 0.000 0.000
0.500 0.500 0.500
0.500 0.167 0.250
0.500 0.833 0.750
0.000 0.333 0.750
0.000 0.667 0.250
0.500 0.166 0.750
0.000 0.666 0.750
0.500 0.834 0.250
0.000 0.334 0.250



7.
ScUPt (PBE, optimized geometry); formation energy from the elements = -0.417 eV per atom
1.0
6.021 0.000 0.000
3.010 3.546 0.000
3.010 0.000 6.154
Sc Pt U
2 2 2
direct
0.250 0.500 0.500
0.750 0.500 0.500
0.376 0.000 0.248
0.624 0.000 0.752
0.170 0.661 0.000
0.830 0.339 0.000